No. 1
First-principles (PBE) data for a relaxed structure of TlCr2Te, as listed in the Alexandria database.

The structure in extended XYZ format:
```
4
Lattice="-1.511 -4.927 -7.559 1.780 -5.342 -7.210 -0.335 -7.289 -5.518" Properties=species:S:1:pos:R:3 pbc="T T T"
Te -0.034 -9.089 -10.502
Tl -0.048 -12.978 -14.996
Cr -0.065 -17.323 -20.017
Cr -0.017 -4.503 -5.203
```

Computed properties:
Energy above the most stable polymorph in this dataset   0.128 eV per atom
D(E_F)   2.7 states/eV/cell



No. 2
First-principles (PBE) data for a relaxed structure of DyTaRu, as listed in the Alexandria database.

The structure in extended XYZ format:
```
12
Lattice="5.481 -0.125 -0.098 1.616 6.915 -0.066 1.612 1.350 6.783" Properties=species:S:1:pos:R:3 pbc="T T T"
Dy 6.498 6.495 3.859
Ta 3.530 2.147 6.010
Dy 4.884 2.362 0.501
Dy 3.824 5.778 6.118
Dy 2.210 1.646 2.760
Ru 6.373 1.451 5.448
Ru 2.336 6.689 1.172
Ta 5.176 3.211 4.033
Ru 2.332 3.907 4.597
Ta 3.532 4.929 2.586
Ru 6.376 4.233 2.022
Ta 5.179 5.994 0.609
```

Computed properties:
D(E_F)   13.7 states/eV/cell
Formation enthalpy at 0 K   -0.13 eV per atom



No. 3
First-principles (PBE) data for a relaxed structure of AcSmMgRu, as listed in the Alexandria database.

The structure in extended XYZ format:
```
4
Lattice="-1.167 0.969 5.078 3.141 -1.859 3.842 3.000 3.339 2.818" Properties=species:S:1:pos:R:3 pbc="T T T"
Ac 0.000 0.000 0.000
Sm 2.487 1.225 5.869
Ru 3.731 1.837 8.803
Mg 1.244 0.612 2.934
```

Computed properties:
D(E_F)   5.3 states/eV/cell
Formation enthalpy at 0 K   0.01 eV per atom



No. 4
First-principles (PBE) data for a relaxed structure of Al2TlRu, as listed in the Alexandria database.

The structure in extended XYZ format:
```
4
Lattice="5.049 -0.001 0.000 1.892 4.681 0.000 -3.470 -2.340 2.823" Properties=species:S:1:pos:R:3 pbc="T T T"
Ru 3.470 2.340 0.000
Al 0.946 2.341 1.412
Tl 2.524 0.000 1.412
Al 0.000 0.000 0.000
```

Computed properties:
Energy above the most stable polymorph in this dataset   0.358 eV per atom
D(E_F)   1.6 states/eV/cell
Formation enthalpy at 0 K   0.12 eV per atom



No. 5
First-principles (PBE) data for a relaxed structure of MnSi2Sb, as listed in the Alexandria database.

The structure in extended XYZ format:
```
4
Lattice="-2.429 0.511 -1.594 1.363 -1.026 -2.406 -2.394 -6.698 1.501" Properties=species:S:1:pos:R:3 pbc="T T T"
Sb -2.329 -5.281 -0.875
Mn -1.131 -1.932 -1.625
Si -1.021 -2.857 0.640
Si -0.176 -0.492 0.110
```

Computed properties:
E   -5.89 eV per atom
D(E_F)   2.1 states/eV/cell



No. 6
First-principles (PBE) data for a relaxed structure of CdAg5Pd3, as listed in the Alexandria database.

The structure in extended XYZ format:
```
18
Lattice="0.148 4.075 -4.155 2.097 -3.420 -4.219 -9.656 -2.475 -4.321" Properties=species:S:1:pos:R:3 pbc="T T T"
Cd -0.418 -0.031 -9.067
Ag -1.835 -0.433 -5.206
Ag -7.796 -1.975 -6.179
Cd -6.993 -1.788 -3.628
Pd -6.694 -1.655 -10.087
Pd -3.011 -0.716 -7.826
Ag 1.459 -0.966 -4.198
Ag -5.576 -1.386 -7.490
Ag 0.786 1.621 -4.176
Pd -0.717 -0.164 -2.609
Ag -2.220 1.764 -7.261
Ag -6.302 0.687 -5.398
Pd -4.400 -1.103 -4.870
Ag -1.109 -2.506 -7.298
Ag 0.385 0.156 -6.517
Ag -5.191 -3.583 -5.434
Pd 0.000 0.000 0.000
Pd -4.828 -1.237 -2.161
```

Computed properties:
D(E_F)   7.3 states/eV/cell
Formation enthalpy at 0 K   0.21 eV per atom



No. 7
First-principles (PBE) data for a relaxed structure of InFeAg2, as listed in the Alexandria database.

The structure in extended XYZ format:
```
4
Lattice="-2.906 -4.175 0.016 1.247 1.431 -4.720 2.427 -1.689 0.129" Properties=species:S:1:pos:R:3 pbc="T T T"
In 1.837 -0.129 -2.295
Fe -0.239 -2.932 0.072
Ag 0.000 0.000 0.000
Ag -0.830 -1.372 -2.352
```

Computed properties:
D(E_F)   3.3 states/eV/cell
Formation enthalpy at 0 K   0.30 eV per atom



No. 8
First-principles (PBE) data for a relaxed structure of Cr2HgPd, as listed in the Alexandria database.

The structure in extended XYZ format:
```
8
Lattice="7.342 0.000 0.000 0.000 7.342 0.000 3.671 3.671 2.820" Properties=species:S:1:pos:R:3 pbc="T T T"
Cr 1.981 5.506 0.705
Cr 5.506 5.652 2.115
Cr 5.360 1.835 0.705
Hg 7.342 3.671 1.410
Cr 9.177 9.031 2.115
Hg 0.000 0.000 0.000
Pd 3.671 3.671 0.000
Pd 3.671 7.342 1.410
```

Computed properties:
D(E_F)   8.2 states/eV/cell
Formation enthalpy at 0 K   0.67 eV per atom



No. 9
First-principles (PBE) data for a relaxed structure of ScVW, as listed in the Alexandria database.

The structure in extended XYZ format:
```
3
Lattice="3.231 0.000 0.000 0.000 3.231 0.000 -1.615 -1.615 5.025" Properties=species:S:1:pos:R:3 pbc="T T T"
Sc 1.615 1.615 5.008
W 0.000 0.000 3.103
V 1.615 1.615 1.940
```

Computed properties:
Energy above the most stable polymorph in this dataset   0.000 eV per atom
D(E_F)   3.4 states/eV/cell
Formation enthalpy at 0 K   0.14 eV per atom



No. 10
First-principles (PBE) data for a relaxed structure of Li2La3Rh7, as listed in the Alexandria database.

The structure in extended XYZ format:
```
12
Lattice="5.174 0.000 1.619 2.334 4.618 1.619 0.001 0.001 9.072" Properties=species:S:1:pos:R:3 pbc="T T T"
Rh 4.384 2.696 8.738
La 1.051 0.646 5.718
Rh 3.754 2.309 6.155
La 6.458 3.972 6.593
Rh 4.306 4.259 4.392
Rh 3.125 1.922 3.573
Rh 1.765 2.696 7.918
Li 4.986 3.067 2.221
Li 2.523 1.552 10.090
Rh 5.744 1.922 4.392
La 0.000 0.000 0.000
Rh 3.203 0.359 7.918
```

Computed properties:
D(E_F)   9.4 states/eV/cell
Formation enthalpy at 0 K   -0.53 eV per atom



No. 11
First-principles (PBE) data for a relaxed structure of Be2SbS, as listed in the Alexandria database.

The structure in extended XYZ format:
```
4
Lattice="0.000 3.138 3.138 3.138 0.000 3.138 3.138 3.138 0.000" Properties=species:S:1:pos:R:3 pbc="T T T"
S 0.000 0.000 0.000
Sb 3.138 3.138 3.138
Be 4.707 4.707 4.707
Be 1.569 1.569 1.569
```

Computed properties:
Energy above the most stable polymorph in this dataset   0.978 eV per atom
D(E_F)   2.1 states/eV/cell



No. 12
First-principles (PBE) data for a relaxed structure of NaCa2Nd, as listed in the Alexandria database.

The structure in extended XYZ format:
```
4
Lattice="-0.215 -3.878 1.620 3.536 0.710 2.168 -4.654 3.017 6.602" Properties=species:S:1:pos:R:3 pbc="T T T"
Nd -0.667 -0.076 5.195
Na 1.660 -1.584 1.894
Ca -1.164 0.754 1.651
Ca -3.490 2.262 4.951
```

Computed properties:
Energy above the most stable polymorph in this dataset   0.024 eV per atom
D(E_F)   2.9 states/eV/cell
Formation enthalpy at 0 K   0.10 eV per atom